CsCaGe3 | PBE | optimized geometry

abc: 5.667 5.667 5.667
angles: 90.00 90.00 90.00
Positions (direct):
Ge 0.000 0.500 0.000
Ge 0.500 0.000 0.000
Ge 0.000 0.000 0.500
Cs 0.500 0.500 0.500
Ca 0.000 0.000 0.000

Calculated values
As for the energy above the lowest structure with this stoichiometry: 0.00 eV per formula unit. The energy of formation is 283.6 kJ/mol of formula units. As for the final energy: -2.754 eV per atom.

***

Cs2CaGe2 | PBE | optimized geometry

abc: 8.071 8.071 6.261
angles: 90.00 90.00 90.00
Site moments in Bohr magnetons follow the coordinates.
Positions (direct):
Cs 0.688 0.812 0.500  0.04
Cs 0.812 0.312 0.500  0.04
Cs 0.312 0.188 0.500  0.04
Cs 0.188 0.688 0.500  0.04
Ge 0.397 0.897 0.000  0.06
Ge 0.603 0.103 0.000  0.06
Ge 0.897 0.603 0.000  0.06
Ge 0.103 0.397 0.000  0.06
Ca 0.500 0.500 0.000  0.07
Ca 0.000 0.000 0.000  0.07

Calculated values
The energy of formation is 1.2 kJ/mol of formula units. As for the final energy: -2.586 eV per atom.

***

CsCaGe3 | PBE | optimized geometry

abc: 5.669 5.669 5.669
angles: 90.00 90.00 90.00
Positions (direct):
Ge 0.000 0.000 0.500
Ge 0.500 0.000 0.000
Ge 0.000 0.500 0.000
Ca 0.500 0.500 0.500
Cs 0.000 0.000 0.000

Calculated values
As for the energy above the lowest structure with this stoichiometry: 3.36 eV per formula unit. The energy of formation is 608.0 kJ/mol of formula units. As for the final energy: -2.081 eV per atom.

***

CsCaGe | PBE | optimized geometry

abc: 4.094 4.094 15.291
angles: 97.69 97.69 90.00
Positions (direct):
Cs 0.411 0.411 0.823
Cs 0.589 0.589 0.177
Ge 0.175 0.175 0.350
Ge 0.825 0.825 0.650
Ca 0.288 0.288 0.577
Ca 0.712 0.712 0.423

Calculated values
The energy of formation is -64.2 kJ/mol of formula units. As for the final energy: -2.713 eV per atom.

***

CsCaGe2 | PBE | optimized geometry

abc: 5.603 5.603 5.603
angles: 60.00 60.00 60.00
Positions (direct):
Ge 0.250 0.250 0.250
Ge 0.750 0.750 0.750
Ca 0.000 0.000 0.000
Cs 0.500 0.500 0.500

Calculated values
As for the energy above the lowest structure with this stoichiometry: 0.50 eV per formula unit. The energy of formation is 79.0 kJ/mol of formula units. As for the final energy: -2.818 eV per atom.

***

CsCaGe2H | PBE | optimized geometry

abc: 5.907 5.907 6.425
angles: 90.00 90.00 90.00
Site moments in Bohr magnetons follow the coordinates.
Positions (direct):
Ge 0.500 0.000 0.000  0.14
Ge 0.000 0.500 0.000  0.14
Ca 0.000 0.000 0.500  -0.01
Cs 0.000 0.000 0.000  0.05
H 0.500 0.500 0.500  0.30

Calculated values
As for the final energy: -1.354 eV per atom.

***

CsCaHfGe2 | PBE | optimized geometry

abc: 5.636 5.530 5.636
angles: 90.00 90.00 90.00
Site moments in Bohr magnetons follow the coordinates.
Positions (direct):
Hf 0.000 0.500 0.000  0.07
Ge 0.500 0.000 0.000  -0.01
Ge 0.000 0.000 0.500  -0.01
Cs 0.500 0.500 0.500  0.00
Ca 0.000 0.000 0.000  0.01

Calculated values
The energy of formation is 516.8 kJ/mol of formula units. As for the final energy: -3.337 eV per atom.

***

Cs4CaGe3I12 | PBE | optimized geometry

abc: 10.495 10.495 10.495
angles: 109.47 109.47 109.47
Positions (direct):
I 0.500 0.250 0.750
I 0.250 0.750 0.500
I 0.500 0.750 0.250
I 0.750 0.500 0.250
I 0.000 0.745 0.745
I 0.750 0.250 0.500
I 0.745 0.000 0.745
I 0.250 0.500 0.750
I 0.255 0.000 0.255
I 0.000 0.255 0.255
I 0.255 0.255 0.000
I 0.745 0.745 0.000
Cs 0.000 0.000 0.500
Cs 0.500 0.500 0.500
Cs 0.500 0.000 0.000
Cs 0.000 0.500 0.000
Ge 0.500 0.000 0.500
Ge 0.000 0.500 0.500
Ge 0.500 0.500 0.000
Ca 0.000 0.000 0.000

Calculated values
The formation energy without anion corrections comes out at -1.000 eV/atom. As for the final energy: -2.893 eV per atom.